No. 1
Y4Ho5Tm3: relaxed, GGA-PBE.

a = 5.838 Å, b = 8.507 Å, c = 9.538 Å
α = 105.68°, β = 72.18°, γ = 69.93°
Element x y z (fractional)
Tm (0.477, 0.313, 0.733)
Tm (0.523, 0.687, 0.267)
Tm (0.000, 0.500, 0.500)
Y (0.836, 0.950, 0.378)
Y (0.164, 0.050, 0.622)
Y (0.142, 0.778, 0.938)
Y (0.858, 0.222, 0.062)
Ho (0.628, 0.945, 0.798)
Ho (0.212, 0.461, 0.116)
Ho (0.372, 0.055, 0.202)
Ho (0.500, 0.500, 0.500)
Ho (0.788, 0.539, 0.884)

Summary:
Energy = -59.24 eV/cell
Formation enthalpy at 0 K = 0.243 eV/atom
Spin magnetization = 0.602 μB per formula unit

***

No. 2
U2Si3Ir2: relaxed, GGA-PBE.

a = 4.106 Å, b = 6.765 Å, c = 9.042 Å
α = 90.00°, β = 103.12°, γ = 90.00°
Element x y z (fractional)
Ir (0.691, 0.541, 0.383)
Ir (0.309, 0.041, 0.617)
Ir (0.309, 0.459, 0.617)
Ir (0.691, 0.959, 0.383)
Si (0.560, 0.431, 0.120)
Si (0.782, 0.250, 0.563)
Si (0.440, 0.931, 0.880)
Si (0.560, 0.069, 0.120)
Si (0.440, 0.569, 0.880)
Si (0.218, 0.750, 0.437)
U (0.154, 0.250, 0.309)
U (0.846, 0.750, 0.691)
U (0.051, 0.750, 0.103)
U (0.949, 0.250, 0.897)

Summary:
Energy = -121.91 eV/cell
Formation energy from raw total energies = -60.4 kJ/mol of atoms
Spin magnetization = 3.285 μB per formula unit

***

No. 3
TaRe3: relaxed, GGA-PBE.

a = 5.111 Å, b = 9.213 Å, c = 5.418 Å
α = 90.00°, β = 90.00°, γ = 90.00°
Element x y z (fractional)
Ta (0.967, 0.250, 0.370)
Ta (0.533, 0.750, 0.870)
Ta (0.467, 0.250, 0.130)
Ta (0.033, 0.750, 0.630)
Re (0.938, 0.250, 0.870)
Re (0.062, 0.750, 0.130)
Re (0.725, 0.482, 0.613)
Re (0.438, 0.250, 0.630)
Re (0.725, 0.018, 0.613)
Re (0.275, 0.982, 0.387)
Re (0.225, 0.482, 0.887)
Re (0.225, 0.018, 0.887)
Re (0.275, 0.518, 0.387)
Re (0.562, 0.750, 0.370)
Re (0.775, 0.518, 0.113)
Re (0.775, 0.982, 0.113)

Summary:
Energy = -196.37 eV/cell
Formation enthalpy at 0 K = 0.026 eV/atom
Spin magnetization = 0.000 μB per formula unit

***

No. 4
NbCr4Fe: relaxed, GGA-PBE.

a = 4.811 Å, b = 4.811 Å, c = 4.811 Å
α = 60.00°, β = 60.00°, γ = 60.00°
Element x y z (fractional)
Nb (0.250, 0.250, 0.250)
Cr (0.626, 0.123, 0.626)
Cr (0.626, 0.626, 0.123)
Cr (0.626, 0.626, 0.626)
Cr (0.123, 0.626, 0.626)
Fe (0.000, 0.000, 0.000)

Summary:
Energy = -56.23 eV/cell
Formation enthalpy at 0 K = 0.133 eV/atom
Spin magnetization = 4.207 μB per formula unit

***

No. 5
Na2Li3Pb2: relaxed, GGA-PBE.

a = 4.877 Å, b = 6.680 Å, c = 5.573 Å
α = 92.54°, β = 115.95°, γ = 90.00°
Element x y z (fractional)
Pb (0.440, 0.234, 0.880)
Pb (0.560, 0.766, 0.120)
Na (0.141, 0.419, 0.282)
Na (0.859, 0.581, 0.718)
Li (0.734, 0.133, 0.468)
Li (0.000, 0.000, 0.000)
Li (0.266, 0.867, 0.532)

Summary:
Energy = -17.33 eV/cell
Formation enthalpy at 0 K = -0.219 eV/atom
Spin magnetization = 0.000 μB per formula unit

***

No. 6
Hf3Nb2H4: relaxed, GGA-PBE.

a = 2.944 Å, b = 5.277 Å, c = 7.850 Å
α = 108.40°, β = 90.00°, γ = 106.20°
Element x y z (fractional)
Nb (0.300, 0.600, 0.201)
Nb (0.700, 0.400, 0.799)
H (0.089, 0.177, 0.621)
H (0.332, 0.665, 0.945)
H (0.911, 0.823, 0.379)
H (0.668, 0.335, 0.055)
Hf (0.000, 0.000, 0.000)
Hf (0.605, 0.211, 0.391)
Hf (0.395, 0.789, 0.609)

Summary:
Energy = -64.28 eV/cell
Spin magnetization = 0.000 μB per formula unit